1.
Density functional theory data (PBE-GGA) for crystalline Ce2Pm3DyP6 at its relaxed geometry.

Cell: 7.0850 12.2719 7.0924 Å, 90.00 109.45 90.00°
With the nearest neighbours (Å) after each atom.
Space group C2/m (No. 12)
Symmetry-distinct sites (fractional):
Ce: 0.0000 0.1666 0.0000 [4 per cell]  6 P 2.87
Pm: 0.0000 0.0000 0.5000 [2 per cell]  6 P 2.92
Pm: 0.0000 0.3333 0.5000 [4 per cell]  6 P 2.92
Dy: 0.0000 0.5000 0.0000 [2 per cell]  6 P 2.86-2.87
P: 0.2475 0.3334 0.2427 [8 per cell]  1 Dy 2.86, 2 Ce 2.87, 3 Pm 2.92
P: 0.2481 0.0000 0.2438 [4 per cell]  1 Dy 2.87, 2 Ce 2.87, 3 Pm 2.92

Computed properties:
energy relative to the elements	-1558.5	meV/atom
spin magnetization	0.77	μB/f.u.
D(E_F)	0.82	states/eV/atom

***

2.
Density functional theory data (PBE-GGA) for crystalline SnAs2S2 at its relaxed geometry.

Cell: 5.0825 5.0825 8.6637 Å, 90.00 90.00 90.00°
With the nearest neighbours (Å) after each atom.
Space group I4/mmm (No. 139)
Symmetry-distinct sites (fractional):
Sn: 0.0000 0.0000 0.0000 [2 per cell]  2 As 2.86
As: 0.0000 0.0000 0.3302 [4 per cell]  4 S 2.63, 1 Sn 2.86, 1 As 2.94
S: 0.0000 0.5000 0.2500 [4 per cell]  4 As 2.63

Computed properties:
energy above the most stable polymorph in this dataset	0.231	eV/atom
ΔE_f (raw)	0.251	eV per atom
spin magnetization	0.00	μB/f.u.
D(E_F)	0.56	states/eV/atom

***

3.
Density functional theory data (PBE-GGA) for crystalline TlGaAg2 at its relaxed geometry.

Cell: 6.9516 6.9516 6.9516 Å, 90.00 90.00 90.00°
With the nearest neighbours (Å) after each atom.
Space group Fm-3m (No. 225)
Symmetry-distinct sites (fractional):
Tl: 0.0000 0.0000 0.0000 [4 per cell]  8 Ag 3.01
Ga: 0.0000 0.0000 0.5000 [4 per cell]  8 Ag 3.01
Ag: 0.2500 0.2500 0.2500 [8 per cell]  4 Tl 3.01, 4 Ga 3.01

Computed properties:
energy relative to the elements	153.9	meV/atom
energy above the most stable polymorph in this dataset	0.061	eV/atom
spin magnetization	0.00	μB/f.u.
D(E_F)	0.35	states/eV/atom

***

4.
Density functional theory data (PBE-GGA) for crystalline LaSn2Au2 at its relaxed geometry.

Cell: 8.4318 8.4318 3.4141 Å, 90.00 90.00 90.00°
With the nearest neighbours (Å) after each atom.
Space group P4/mbm (No. 127)
Symmetry-distinct sites (fractional):
La: 0.0000 0.0000 0.0000 [2 per cell]  4 Sn 3.28, 2 La 3.41, 8 Au 3.60
Sn: 0.1360 0.3640 0.0000 [4 per cell]  6 Au 2.96-3.04, 1 Sn 3.24, 2 La 3.28
Au: 0.1607 0.6607 0.5000 [4 per cell]  6 Sn 2.96-3.04

Computed properties:
energy relative to the elements	-356.3	meV/atom
spin magnetization	0.43	μB/f.u.
D(E_F)	0.45	states/eV/atom

***

5.
Density functional theory data (PBE-GGA) for crystalline NaGdBiAu at its relaxed geometry.

Cell: 7.4638 7.4638 7.4638 Å, 90.00 90.00 90.00°
With the nearest neighbours (Å) after each atom.
Space group F-43m (No. 216)
Symmetry-distinct sites (fractional):
Na: 0.0000 0.0000 0.0000 [4 per cell]  4 Bi 3.23, 4 Au 3.23
Gd: 0.0000 0.0000 0.5000 [4 per cell]  4 Au 3.23, 4 Bi 3.23
Bi: 0.2500 0.2500 0.7500 [4 per cell]  4 Gd 3.23, 4 Na 3.23
Au: 0.2500 0.2500 0.2500 [4 per cell]  4 Gd 3.23, 4 Na 3.23

Computed properties:
energy relative to the elements	-602.1	meV/atom
spin magnetization	6.93	μB/f.u.
D(E_F)	0.71	states/eV/atom

***

6.
Density functional theory data (PBE-GGA) for crystalline La6Pm2Tl at its relaxed geometry.

Cell: 9.9008 9.9008 3.7622 Å, 90.00 90.00 120.00°
With the nearest neighbours (Å) after each atom.
Space group P-62m (No. 189)
Symmetry-distinct sites (fractional):
La: 0.0000 0.3681 0.0000 [3 per cell]  1 Tl 3.64, 4 Pm 3.66, 8 La 3.76-3.94
La: 0.0000 0.7173 0.5000 [3 per cell]  2 Tl 3.37, 2 Pm 3.58, 2 La 3.76
Pm: 0.3333 0.6667 0.5000 [2 per cell]  9 La 3.58-3.66, 2 Pm 3.76
Tl: 0.0000 0.0000 0.0000 [1 per cell]  9 La 3.37-3.64, 2 Tl 3.76

Computed properties:
energy relative to the elements	-86.8	meV/atom
energy above the most stable polymorph in this dataset	0.000	eV/atom
spin magnetization	0.00	μB/f.u.
D(E_F)	1.47	states/eV/atom

***

- The lowest D(E_F) belongs to which entry?
  TlGaAg2